(1)
Here is a geometry-optimized LiBeGe3 structure from Alexandria via LeMat-Bulk. Energies are from PBE.

Unit cell a=4.5523 b=4.5523 c=4.5523 alpha=90.00 beta=90.00 gamma=90.00
Closest atoms and distances in Å follow each position.
Fractional coordinates of all 5 atoms:
Li: 0.5000 0.5000 0.5000  12 Ge 3.22
Ge: 0.0000 0.0000 0.5000  2 Be 2.28
Ge: 0.5000 0.0000 0.0000  2 Be 2.28
Ge: 0.0000 0.5000 0.0000  2 Be 2.28
Be: 0.0000 0.0000 0.0000  6 Ge 2.28

Output
ΔH_f (0 K): 1.6 eV per formula unit
Energy above the most stable polymorph in this dataset: 0.00 eV per formula unit
DOS at the Fermi energy: 0.38 states/eV per atom
Total magnetic moment: 0.00 μB per cell

---

(2)
Here is a geometry-optimized DyAg2 structure from Alexandria via LeMat-Bulk. Energies are from PBE.

Unit cell a=5.7001 b=5.7001 c=5.7001 alpha=60.00 beta=60.00 gamma=60.00
Closest atoms and distances in Å follow each position.
Fractional coordinates of all 6 atoms:
Dy: 0.0000 0.0000 0.0000  12 Ag 3.34, 4 Dy 3.49
Dy: 0.2500 0.2500 0.2500  12 Ag 3.34, 4 Dy 3.49
Ag: 0.6250 0.1250 0.6250  6 Ag 2.85
Ag: 0.6250 0.6250 0.1250  6 Ag 2.85
Ag: 0.1250 0.6250 0.6250  6 Ag 2.85
Ag: 0.6250 0.6250 0.6250  6 Ag 2.85

Output
ΔH_f (0 K): -0.5 eV per formula unit
DOS at the Fermi energy: 0.97 states/eV per atom
Total magnetic moment: 0.00 μB per cell

---

(3)
Here is a geometry-optimized Mg2MnPtN structure from Alexandria via LeMat-Bulk. Energies are from PBE.

Unit cell a=4.2505 b=4.2505 c=3.8960 alpha=90.00 beta=90.00 gamma=90.00
Closest atoms and distances in Å follow each position.
Fractional coordinates of all 5 atoms:
Mn: 0.0000 0.0000 0.5000  2 N 1.95
Mg: 0.5000 0.0000 0.0000  2 N 2.13
Mg: 0.0000 0.5000 0.0000  2 N 2.13
N: 0.0000 0.0000 0.0000  2 Mn 1.95, 4 Mg 2.13
Pt: 0.5000 0.5000 0.5000  8 Mg 2.88, 4 Mn 3.01

Output
VASP energy: -5.88 eV per atom
DOS at the Fermi energy: 0.38 states/eV per atom
Total magnetic moment: 3.74 μB per cell

---

(4)
Here is a geometry-optimized Ho2ZrSc3 structure from Alexandria via LeMat-Bulk. Energies are from PBE.

Unit cell a=8.4559 b=6.1864 c=6.1864 alpha=93.86 beta=80.92 gamma=80.92
Closest atoms and distances in Å follow each position.
Fractional coordinates of all 12 atoms:
Sc: 0.9947 0.8365 0.6762  2 Zr 2.96-3.31, 2 Sc 3.07-3.08
Sc: 0.5053 0.3238 0.1635  2 Zr 2.96-3.31, 2 Sc 3.07-3.08
Sc: 0.0053 0.1635 0.3238  2 Zr 2.96-3.31, 2 Sc 3.07-3.08
Sc: 0.2500 0.4129 0.5871  1 Zr 2.97, 4 Sc 3.08-3.32
Sc: 0.7500 0.5871 0.4129  1 Zr 2.97, 4 Sc 3.08-3.32
Sc: 0.4947 0.6762 0.8365  2 Zr 2.96-3.31, 2 Sc 3.07-3.08
Ho: 0.8765 0.3737 0.8791  2 Ho 3.28-3.35, 9 Sc 3.38-3.53, 3 Zr 3.42-3.44
Ho: 0.3765 0.8791 0.3737  2 Ho 3.28-3.35, 9 Sc 3.38-3.53, 3 Zr 3.42-3.44
Ho: 0.6235 0.1209 0.6263  2 Ho 3.28-3.35, 9 Sc 3.38-3.53, 3 Zr 3.42-3.44
Ho: 0.1235 0.6263 0.1209  2 Ho 3.28-3.35, 9 Sc 3.38-3.53, 3 Zr 3.42-3.44
Zr: 0.7500 0.9154 0.0846  5 Sc 2.96-3.31
Zr: 0.2500 0.0846 0.9154  5 Sc 2.96-3.31

Output
ΔH_f (0 K): 0.4 eV per formula unit
Energy above the most stable polymorph in this dataset: 0.12 eV per formula unit
DOS at the Fermi energy: 1.80 states/eV per atom
Total magnetic moment: 0.00 μB per cell

---

(5)
Here is a geometry-optimized ThCoP2Ru structure from Alexandria via LeMat-Bulk. Energies are from PBE.

Unit cell a=3.8651 b=3.8651 c=6.0686 alpha=108.57 beta=108.57 gamma=90.00
Closest atoms and distances in Å follow each position.
Fractional coordinates of all 5 atoms:
Ru: 0.2500 0.7500 0.5000  4 P 2.30
Th: 0.0000 0.0000 0.0000  8 P 3.10, 4 Ru 3.33, 4 Co 3.33
P: 0.6346 0.6346 0.2693  2 Ru 2.30, 2 Co 2.30
P: 0.3654 0.3654 0.7307  2 Co 2.30, 2 Ru 2.30
Co: 0.7500 0.2500 0.5000  4 P 2.30

Output
ΔH_f (0 K): -4.8 eV per formula unit
DOS at the Fermi energy: 0.75 states/eV per atom
Total magnetic moment: 0.00 μB per cell

---

(6)
Here is a geometry-optimized MgSi2Ru structure from Alexandria via LeMat-Bulk. Energies are from PBE.

Unit cell a=6.1521 b=6.1521 c=6.5515 alpha=62.00 beta=62.00 gamma=90.00
Closest atoms and distances in Å follow each position.
Fractional coordinates of all 8 atoms:
Mg: 0.5000 0.5000 0.0000  4 Si 2.75
Mg: 0.2500 0.7500 0.5000  4 Si 2.75
Ru: 0.7500 0.2500 0.5000  4 Si 2.28
Ru: 0.0000 0.0000 0.0000  4 Si 2.28
Si: 0.8750 0.9382 0.7500  2 Ru 2.28
Si: 0.6882 0.1250 0.2500  2 Ru 2.28
Si: 0.3750 0.3118 0.7500  2 Ru 2.28
Si: 0.0618 0.6250 0.2500  2 Ru 2.28

Output
VASP energy: -5.04 eV per atom
DOS at the Fermi energy: 0.83 states/eV per atom
Total magnetic moment: 0.00 μB per cell

---

(7)
Here is a geometry-optimized HoAlBIr2 structure from Alexandria via LeMat-Bulk. Energies are from PBE.

Unit cell a=3.9816 b=6.0021 c=7.2753 alpha=90.00 beta=90.00 gamma=109.37
Closest atoms and distances in Å follow each position.
Fractional coordinates of all 10 atoms:
B: 0.0000 0.0000 0.0000  2 Ir 1.93
B: 0.0000 0.0000 0.5000  2 Ir 1.93
Ho: 0.4476 0.8953 0.7500  4 B 2.76
Ho: 0.5524 0.1047 0.2500  4 B 2.76
Ir: 0.1659 0.3318 0.9419  1 B 1.93
Ir: 0.8341 0.6682 0.4419  1 B 1.93
Ir: 0.8341 0.6682 0.0581  1 B 1.93
Ir: 0.1659 0.3318 0.5581  1 B 1.93
Al: 0.2716 0.5432 0.2500  6 Ir 2.53-2.54
Al: 0.7284 0.4568 0.7500  6 Ir 2.53-2.54

Output
ΔH_f (0 K): -3.8 eV per formula unit
DOS at the Fermi energy: 0.51 states/eV per atom
Total magnetic moment: 0.00 μB per cell

---

(8)
Here is a geometry-optimized LaIr2Se structure from Alexandria via LeMat-Bulk. Energies are from PBE.

Unit cell a=5.4468 b=5.4468 c=5.4468 alpha=135.73 beta=135.73 gamma=64.39
Closest atoms and distances in Å follow each position.
Fractional coordinates of all 4 atoms:
Ir: 0.0000 0.0000 0.0000  4 La 2.90, 4 Se 3.09, 4 Ir 3.09
Ir: 0.2500 0.7500 0.5000  4 Se 2.90, 4 Ir 3.09, 4 La 3.09
Se: 0.7500 0.2500 0.5000  8 Ir 2.90-3.09, 4 La 3.09
La: 0.5000 0.5000 0.0000  8 Ir 2.90-3.09, 4 Se 3.09

Output
Energy above the most stable polymorph in this dataset: 1.83 eV per formula unit
DOS at the Fermi energy: 0.74 states/eV per atom
Total magnetic moment: 0.00 μB per cell

---

(9)
Here is a geometry-optimized Na3TiGa3O8 structure from Alexandria via LeMat-Bulk. Energies are from PBE.

Unit cell a=6.0005 b=6.0011 c=6.5167 alpha=117.43 beta=90.00 gamma=119.98
Closest atoms and distances in Å follow each position.
Fractional coordinates of all 15 atoms:
O: 0.7738 0.5476 0.3080  1 Ti 1.99, 2 Ga 2.05
O: 0.7738 0.0342 0.3080  1 Ti 1.99, 2 Ga 2.05
O: 0.2605 0.0342 0.3080  1 Ti 1.99, 2 Ga 2.05
O: 0.7298 0.4596 0.6894  3 Ga 2.02
O: 0.7395 0.9658 0.6920  1 Ti 1.99, 2 Ga 2.05
O: 0.2262 0.9658 0.6920  1 Ti 1.99, 2 Ga 2.05
O: 0.2702 0.5404 0.3106  3 Ga 2.02
O: 0.2262 0.4524 0.6920  1 Ti 1.99, 2 Ga 2.05
Ga: 0.5000 0.0000 0.5000  6 O 2.02-2.05
Ga: 0.0000 0.5000 0.5000  6 O 2.02-2.05
Ga: 0.5000 0.5000 0.5000  6 O 2.02-2.05
Na: 0.0000 0.5000 0.0000  6 O 2.41-2.44
Na: 0.5000 0.5000 0.0000  6 O 2.41-2.44
Na: 0.0000 0.0000 0.0000  6 O 2.41-2.44
Ti: 0.0000 0.0000 0.5000  6 O 1.99

Output
VASP energy: -6.07 eV per atom
DOS at the Fermi energy: 0.00 states/eV per atom
Total magnetic moment: 0.00 μB per cell

---

(10)
Here is a geometry-optimized CaZn10Ga2 structure from Alexandria via LeMat-Bulk. Energies are from PBE.

Unit cell a=5.3358 b=6.8886 c=6.8566 alpha=81.73 beta=68.22 gamma=67.39
Closest atoms and distances in Å follow each position.
Fractional coordinates of all 13 atoms:
Zn: 0.5065 0.2146 0.7790  6 Zn 2.60-2.91, 2 Ga 2.63-2.68
Zn: 0.4935 0.7854 0.2210  6 Zn 2.60-2.91, 2 Ga 2.63-2.68
Zn: 0.6362 0.3512 0.3636  4 Zn 2.57-2.78, 2 Ga 2.80-2.87
Zn: 0.3638 0.6488 0.6364  4 Zn 2.57-2.78, 2 Ga 2.80-2.87
Zn: 0.9899 0.6486 0.3640  4 Zn 2.56-2.79, 1 Ga 2.81
Zn: 0.5000 0.0000 0.5000  10 Zn 2.60-2.75
Zn: 0.7220 0.7860 0.7796  6 Zn 2.60-2.91, 2 Ga 2.63-2.68
Zn: 0.0000 0.0000 0.5000  10 Zn 2.61-2.75
Zn: 0.0101 0.3514 0.6360  4 Zn 2.56-2.79, 1 Ga 2.81
Zn: 0.2780 0.2140 0.2204  6 Zn 2.60-2.91, 2 Ga 2.63-2.68
Ga: 0.5000 0.5000 0.0000  8 Zn 2.63-2.87, 2 Ga 2.67
Ga: 0.0000 0.5000 0.0000  8 Zn 2.63-2.87, 2 Ga 2.67
Ca: 0.0000 0.0000 0.0000  16 Zn 3.22-3.48, 4 Ga 3.44-3.45

Output
ΔH_f (0 K): -1.3 eV per formula unit
DOS at the Fermi energy: 0.21 states/eV per atom
Total magnetic moment: 0.00 μB per cell